Here is a relaxed structure of La2GeRh from Alexandria. Energies are from PBE.

The structure belongs to space group P2_1/m (No. 11); the cell edges are 6.0741, 4.3130 and 8.3862 Å and the angles 90.00°, 109.80° and 90.00°. Symmetry generates all atoms from La at (0.1875, 0.2500, 0.4136), La at (0.2820, 0.7500, 0.0571), Ge at (0.3641, 0.7500, 0.7065) and Rh at (0.1447, 0.2500, 0.7896).

The magnetic moment is 0.00 Bohr magnetons per cell. The total energy is -6.242 eV/atom.